Entry 1:
{
  "formula": "Mg4Si3",
  "functional": "PBE-GGA",
  "state": "relaxed",
  "lattice": [[-6.171, 0.005, -0.001], [2.261, 6.787, 0.005], [-0.228, -2.897, -6.759]],
  "species": ["Si", "Si", "Mg", "Mg", "Si", "Mg", "Si", "Mg", "Si", "Si", "Mg", "Mg", "Mg", "Mg"],
  "frac_coords": [[0.100, 0.426, 0.807], [0.244, 0.498, 0.517], [0.371, 0.870, 0.420], [0.718, 0.141, 0.895], [0.315, 0.202, 0.813], [0.943, 0.029, 0.482], [0.689, 0.103, 0.245], [0.274, 0.161, 0.180], [0.034, 0.717, 0.088], [0.640, 0.735, 0.617], [0.648, 0.352, 0.611], [0.587, 0.695, 0.990], [0.873, 0.520, 0.321], [0.064, 0.803, 0.765]],
  "de_polymorph_ev_per_atom": 0.0302
}


Entry 2:
{
  "formula": "K2ZnTe2O6",
  "functional": "PBE-GGA",
  "state": "relaxed",
  "lattice": [[-0.544, 2.570, -5.729], [-4.102, -1.615, 3.131], [2.008, 6.526, 2.738]],
  "species": ["Te", "O", "O", "O", "O", "K", "K", "Te", "O", "O", "Zn"],
  "frac_coords": [[0.107, 0.213, 0.250], [0.208, 0.946, 0.257], [0.792, 0.054, 0.743], [0.738, 0.946, 0.257], [0.272, 0.544, 0.488], [0.307, 0.613, 0.857], [0.693, 0.387, 0.143], [0.893, 0.787, 0.750], [0.728, 0.456, 0.512], [0.262, 0.054, 0.743], [0.500, 0.000, 0.500]]
}


Entry 3:
{
  "formula": "Rb3Ce2SmS6",
  "functional": "PBE-GGA",
  "state": "relaxed",
  "lattice": [[-4.858, -5.430, 0.657], [7.165, -1.480, 0.019], [-0.625, 3.100, 7.418]],
  "species": ["Rb", "Ce", "Ce", "Sm", "Rb", "S", "S", "S", "S", "S", "Rb", "S"],
  "frac_coords": [[0.500, 0.500, 0.500], [0.667, 0.333, 0.000], [0.333, 0.667, 0.000], [0.000, 0.000, 0.000], [0.167, 0.833, 0.500], [0.735, 0.735, 0.196], [0.396, 0.065, 0.196], [0.604, 0.935, 0.804], [0.265, 0.265, 0.804], [0.065, 0.396, 0.196], [0.833, 0.167, 0.500], [0.935, 0.604, 0.804]]
}


Entry 4:
{
  "formula": "Sr2MgCuH",
  "functional": "PBE-GGA",
  "state": "relaxed",
  "lattice": [[-2.248, -2.119, 4.314], [4.769, -0.395, 2.291], [-0.481, 3.930, 1.679]],
  "species": ["Mg", "H", "Cu", "Sr", "Sr"],
  "frac_coords": [[0.000, 0.000, 0.500], [0.000, 0.000, 0.000], [0.500, 0.500, 0.500], [0.000, 0.500, 0.000], [0.500, 0.000, 0.000]],
  "de_polymorph_ev_per_atom": 0.0000
}


Number 1: calculated total energy -45.3 eV for the cell shown. Number 2: calculated total energy -53.2 eV for the cell shown. Number 3: calculated total energy -65.7 eV for the cell shown. Number 4: calculated total energy -12.7 eV for the cell shown.